Record 1
4
Lattice="-3.0484 -6.4791 -8.8733 -5.7208 -7.5062 -6.3981 -6.1885 -4.3984 -8.5067" Properties=species:S:1:pos:R:3 comment="SrLa2Mn | Alexandria via LeMat-Bulk | PBE | optimized geometry" vol_a3_per_atom=34.7 total_magnetization_mub_per_fu=3.47 e_above_lowest_polymorph_kj_per_mol_atoms=17.02 dos_at_fermi_per_ev_atom=1.312 spacegroup=R3m e_tot_ev_per_cell=-19.17 ef_ev_per_atom=0.38 pbc="T T T"
Sr -11.4366 -14.0561 -18.1807
La -14.8675 -18.2728 -23.6347
Mn -7.5498 -9.2790 -12.0018
La -3.5404 -4.3513 -5.6282

***

Record 2
20
Lattice="-3.1375 -6.5615 -4.9556 4.9772 -6.7172 2.7499 -5.4610 -3.9326 5.6716" Properties=species:S:1:pos:R:3 comment="Y6Ho3In | Alexandria via LeMat-Bulk | PBE | optimized geometry" vol_a3_per_atom=32.4 total_magnetization_mub_per_fu=0.00 e_above_lowest_polymorph_kj_per_mol_atoms=22.54 dos_at_fermi_per_ev_atom=1.261 spacegroup=R-3 e_tot_ev_per_cell=-107.48 ef_ev_per_atom=0.15 pbc="T T T"
Ho 2.2508 -5.2970 1.7958
Y -3.0204 -9.0260 -2.1873
Y 2.1576 -9.1255 2.7288
Ho -1.5938 -11.9994 5.7182
Y -0.1000 -6.9011 -0.0408
Ho -3.2401 -3.8299 3.3440
Y -0.4704 -11.1258 2.6446
Y -3.1509 -6.0856 0.8213
Y -5.7789 -8.0859 0.7371
Y -0.6009 -8.1854 5.6532
Y -2.8493 -11.0781 0.3962
Y -3.5214 -10.3103 3.5067
Ho -0.3812 -13.3815 0.1219
Y 0.8811 -9.8627 -1.1276
In -1.8107 -8.6057 1.7329
In 0.0000 0.0000 0.0000
Ho -5.8721 -11.9144 1.6701
Y -4.5025 -7.3487 4.5935
Y -0.7720 -6.1333 3.0697
Ho -2.0276 -5.2120 -2.2523